The following is a PBE calculation of crystalline Li4P3 at its relaxed geometry, from the Alexandria database.

Computed properties:
Size of the total moment, μB/cell: 0.000
Energy of formation, eV/atom: -0.208
Space group: P6/mmm
Theoretical density, g/cm3: 1.9

Cell: 4.950 4.950 4.890 Å, 90.00 90.00 120.00°
Element x y z (fractional)
1 Li 0.000 0.000 0.243
2 Li 0.000 0.000 0.757
3 Li 0.333 0.667 0.500
4 Li 0.667 0.333 0.500
5 P 0.000 0.500 0.000
6 P 0.500 0.000 0.000
7 P 0.500 0.500 0.000